Model w:
Co2Os: optimized geometry, GGA-PBE.

Cell lengths 3.9262, 3.9262, 3.9262 Å; angles 60.00, 60.00, 60.00 degrees
With the nearest neighbours (Å) after each atom.
Fractional positions:
Co (0.2500, 0.2500, 0.2500)  4 Os 2.40
Co (0.7500, 0.7500, 0.7500)  4 Os 2.40
Os (0.0000, 0.0000, 0.0000)  8 Co 2.40

space-group type = Fm-3m
M_tot = 2.0 μB per formula unit

---

Model x:
Co2Os: optimized geometry, GGA-PBE.

Cell lengths 7.3757, 7.3757, 7.3757 Å; angles 60.00, 60.00, 60.00 degrees
With the nearest neighbours (Å) after each atom.
Fractional positions:
Co (0.0000, 0.0000, 0.0000)  2 Os 2.26
Co (0.0000, 0.0000, 0.5000)  2 Os 2.26
Co (0.0000, 0.5000, 0.0000)  2 Os 2.26
Co (0.5000, 0.0000, 0.0000)  2 Os 2.26
Os (0.1250, 0.1250, 0.1250)  4 Co 2.26
Os (0.8750, 0.8750, 0.8750)  4 Co 2.26

space-group type = Fd-3m
M_tot = 4.4 μB per formula unit

---

Which of them is least stable? Easy: model x.

---

Model w:
PaCoOs: optimized geometry, GGA-PBE.

Cell lengths 4.3628, 4.3628, 4.3628 Å; angles 60.00, 60.00, 60.00 degrees
With the nearest neighbours (Å) after each atom.
Fractional positions:
Pa (0.0000, 0.0000, 0.0000)  4 Co 2.67, 4 Os 2.67
Co (0.7500, 0.7500, 0.7500)  4 Pa 2.67
Os (0.2500, 0.2500, 0.2500)  4 Pa 2.67

space-group type = F-43m
M_tot = 0.0 μB per formula unit

---

Model x:
PaCoOs: optimized geometry, GGA-PBE.

Cell lengths 4.2700, 4.2700, 4.2700 Å; angles 60.00, 60.00, 60.00 degrees
With the nearest neighbours (Å) after each atom.
Fractional positions:
Pa (0.0000, 0.0000, 0.0000)  4 Co 2.61
Co (0.7500, 0.7500, 0.7500)  4 Pa 2.61, 4 Os 2.61
Os (0.5000, 0.5000, 0.5000)  4 Co 2.61

space-group type = F-43m
M_tot = 0.7 μB per formula unit

---

Which of them is least stable? Easy: model w.

---

Model w:
ZrCoSbOs: optimized geometry, GGA-PBE.

Cell lengths 4.5585, 4.5585, 4.5585 Å; angles 60.00, 60.00, 60.00 degrees
With the nearest neighbours (Å) after each atom.
Fractional positions:
Zr (0.0000, 0.0000, 0.0000)  4 Co 2.79, 4 Os 2.79
Co (0.7500, 0.7500, 0.7500)  4 Sb 2.79, 4 Zr 2.79
Sb (0.5000, 0.5000, 0.5000)  4 Co 2.79, 4 Os 2.79
Os (0.2500, 0.2500, 0.2500)  4 Zr 2.79, 4 Sb 2.79

space-group type = F-43m
M_tot = 2.0 μB per formula unit

---

Model x:
ZrCoSbOs: optimized geometry, GGA-PBE.

Cell lengths 4.5944, 4.5944, 4.5944 Å; angles 60.00, 60.00, 60.00 degrees
With the nearest neighbours (Å) after each atom.
Fractional positions:
Zr (0.0000, 0.0000, 0.0000)  4 Sb 2.81, 4 Os 2.81
Co (0.5000, 0.5000, 0.5000)  4 Sb 2.81, 4 Os 2.81
Sb (0.2500, 0.2500, 0.2500)  4 Zr 2.81, 4 Co 2.81
Os (0.7500, 0.7500, 0.7500)  4 Zr 2.81, 4 Co 2.81

space-group type = F-43m
M_tot = 2.3 μB per formula unit

---

Which of them is least stable? Easy: model x.

---

Model w:
Sc2CoOs: optimized geometry, GGA-PBE.

Cell lengths 3.1672, 3.1672, 6.3267 Å; angles 90.00, 90.00, 90.00 degrees
With the nearest neighbours (Å) after each atom.
Fractional positions:
Sc (0.0000, 0.0000, 0.2462)  4 Co 2.73, 4 Os 2.76
Sc (0.0000, 0.0000, 0.7538)  4 Co 2.73, 4 Os 2.76
Co (0.5000, 0.5000, 0.0000)  8 Sc 2.73
Os (0.5000, 0.5000, 0.5000)  8 Sc 2.76

space-group type = P4/mmm
M_tot = 0.0 μB per formula unit

---

Model x:
Sc2CoOs: optimized geometry, GGA-PBE.

Cell lengths 4.4858, 4.4858, 4.4858 Å; angles 119.96, 119.96, 90.06 degrees
With the nearest neighbours (Å) after each atom.
Fractional positions:
Sc (0.2500, 0.7500, 0.5000)  4 Co 2.75, 4 Os 2.75
Sc (0.7500, 0.2500, 0.5000)  4 Co 2.75, 4 Os 2.75
Co (0.0000, 0.0000, 0.0000)  8 Sc 2.75
Os (0.5000, 0.5000, 0.0000)  8 Sc 2.75

space-group type = I4/mmm
M_tot = 0.0 μB per formula unit

---

Model y:
Sc2CoOs: optimized geometry, GGA-PBE.

Cell lengths 5.1130, 8.0614, 6.5120 Å; angles 90.00, 90.00, 90.00 degrees
With the nearest neighbours (Å) after each atom.
Fractional positions:
Sc (0.2495, 0.0652, 0.0884)  4 Os 2.67-2.97, 2 Co 2.95, 2 Sc 2.98-2.99
Sc (0.2495, 0.4348, 0.0884)  4 Os 2.67-2.97, 2 Co 2.95, 2 Sc 2.98-2.99
Sc (0.2505, 0.5652, 0.5884)  4 Os 2.67-2.97, 2 Co 2.95, 2 Sc 2.98-2.99
Sc (0.2505, 0.9348, 0.5884)  4 Os 2.67-2.97, 2 Co 2.95, 2 Sc 2.98-2.99
Sc (0.7495, 0.0652, 0.4116)  4 Os 2.67-2.97, 2 Co 2.95, 2 Sc 2.98-2.99
Sc (0.7495, 0.4348, 0.4116)  4 Os 2.67-2.97, 2 Co 2.95, 2 Sc 2.98-2.99
Sc (0.7505, 0.5652, 0.9116)  4 Os 2.67-2.97, 2 Co 2.95, 2 Sc 2.98-2.99
Sc (0.7505, 0.9348, 0.9116)  4 Os 2.67-2.97, 2 Co 2.95, 2 Sc 2.98-2.99
Co (0.0018, 0.7500, 0.2496)  2 Os 2.45, 2 Co 2.56
Co (0.4982, 0.2500, 0.7496)  2 Os 2.45, 2 Co 2.56
Co (0.5018, 0.7500, 0.2504)  2 Os 2.45, 2 Co 2.56
Co (0.9982, 0.2500, 0.7504)  2 Os 2.45, 2 Co 2.56
Os (0.2479, 0.2500, 0.4291)  2 Co 2.45, 2 Sc 2.67
Os (0.2521, 0.7500, 0.9291)  2 Co 2.45, 2 Sc 2.67
Os (0.7479, 0.2500, 0.0709)  2 Co 2.45, 2 Sc 2.67
Os (0.7521, 0.7500, 0.5709)  2 Co 2.45, 2 Sc 2.67

space-group type = Pnma
M_tot = 0.5 μB per formula unit

---

Which of them is least stable? Easy: model y.

---

Model w:
Sc2CoOs: optimized geometry, GGA-PBE.

Cell lengths 4.4851, 4.4851, 4.4851 Å; angles 60.00, 60.00, 60.00 degrees
With the nearest neighbours (Å) after each atom.
Fractional positions:
Sc (0.2500, 0.2500, 0.2500)  4 Co 2.75, 4 Os 2.75
Sc (0.7500, 0.7500, 0.7500)  4 Co 2.75, 4 Os 2.75
Co (0.0000, 0.0000, 0.0000)  8 Sc 2.75
Os (0.5000, 0.5000, 0.5000)  8 Sc 2.75

space-group type = Fm-3m
M_tot = 0.0 μB per formula unit

---

Model x:
Sc2CoOs: optimized geometry, GGA-PBE.

Cell lengths 4.4774, 4.4774, 4.4774 Å; angles 60.00, 60.00, 60.00 degrees
With the nearest neighbours (Å) after each atom.
Fractional positions:
Sc (0.0000, 0.0000, 0.0000)  4 Co 2.74, 4 Sc 2.74
Sc (0.2500, 0.2500, 0.2500)  4 Os 2.74, 4 Sc 2.74
Co (0.7500, 0.7500, 0.7500)  4 Os 2.74, 4 Sc 2.74
Os (0.5000, 0.5000, 0.5000)  4 Co 2.74, 4 Sc 2.74

space-group type = F-43m
M_tot = 1.3 μB per formula unit

---

Which of them is least stable? Easy: model x.

---

Model w:
ScCoSiOs: optimized geometry, GGA-PBE.

Cell lengths 4.3499, 4.3499, 4.3499 Å; angles 60.00, 60.00, 60.00 degrees
With the nearest neighbours (Å) after each atom.
Fractional positions:
Sc (0.0000, 0.0000, 0.0000)  4 Os 2.66, 4 Si 2.66
Co (0.5000, 0.5000, 0.5000)  4 Os 2.66, 4 Si 2.66
Si (0.2500, 0.2500, 0.2500)  4 Co 2.66, 4 Sc 2.66
Os (0.7500, 0.7500, 0.7500)  4 Co 2.66, 4 Sc 2.66

space-group type = F-43m
M_tot = 2.7 μB per formula unit

---

Model x:
ScCoSiOs: optimized geometry, GGA-PBE.

Cell lengths 4.2538, 4.2538, 4.2538 Å; angles 60.00, 60.00, 60.00 degrees
With the nearest neighbours (Å) after each atom.
Fractional positions:
Sc (0.0000, 0.0000, 0.0000)  4 Co 2.60, 4 Os 2.60
Co (0.7500, 0.7500, 0.7500)  4 Si 2.60, 4 Sc 2.60
Si (0.5000, 0.5000, 0.5000)  4 Co 2.60, 4 Os 2.60
Os (0.2500, 0.2500, 0.2500)  4 Sc 2.60, 4 Si 2.60

space-group type = F-43m
M_tot = 0.0 μB per formula unit

---

Which of them is least stable? Easy: model w.